# 1
The following is a GGA-PBE calculation of BaLi3Mo after structural relaxation, from Alexandria via LeMat-Bulk.

CIF file:
```
data_BaLi3Mo
_chemical_formula_sum 'Ba1 Li3 Mo1'
_space_group_name_H-M_alt 'P m -3 m'
_space_group_IT_number 221
_space_group_name_Hall '-P 4 2 3'
_cell_length_a 4.833
_cell_length_b 4.833
_cell_length_c 4.833
_cell_angle_alpha 90.00
_cell_angle_beta 90.00
_cell_angle_gamma 90.00
loop_
_atom_site_label
_atom_site_type_symbol
_atom_site_fract_x
_atom_site_fract_y
_atom_site_fract_z
Ba1 Ba 0.000 0.000 0.000
Li1 Li 0.000 0.000 0.500
Mo1 Mo 0.500 0.500 0.500
```

Computed properties:
VASP energy in eV per atom: -1.93
ΔE to the lowest computed polymorph in eV/atom: 0.920
Density in g/cm³: 3.7
Energy of formation in kJ/mol of atoms: 170

---

# 2
The following is a GGA-PBE calculation of NiPt3Rh12 after structural relaxation, from Alexandria via LeMat-Bulk.

CIF file:
```
data_NiPt3Rh12
_chemical_formula_sum 'Ni1 Pt3 Rh12'
_space_group_name_H-M_alt 'P 4/m m m'
_space_group_IT_number 123
_space_group_name_Hall '-P 4 2'
_cell_length_a 3.862
_cell_length_b 3.862
_cell_length_c 15.394
_cell_angle_alpha 90.00
_cell_angle_beta 90.00
_cell_angle_gamma 90.00
loop_
_atom_site_label
_atom_site_type_symbol
_atom_site_fract_x
_atom_site_fract_y
_atom_site_fract_z
Ni1 Ni 0.000 0.000 0.000
Pt1 Pt 0.000 0.000 0.247
Pt2 Pt 0.000 0.000 0.500
Rh1 Rh 0.000 0.500 0.120
Rh2 Rh 0.000 0.500 0.373
Rh3 Rh 0.500 0.500 0.000
Rh4 Rh 0.500 0.500 0.247
Rh5 Rh 0.500 0.500 0.500
```

Computed properties:
VASP energy in eV per atom: -7.01
Density in g/cm³: 13.6
Energy of formation in kJ/mol of atoms: 0

---

# 3
The following is a GGA-PBE calculation of Sc2BiTe after structural relaxation, from Alexandria via LeMat-Bulk.

CIF file:
```
data_Sc2BiTe
_chemical_formula_sum 'Sc8 Bi4 Te4'
_space_group_name_H-M_alt 'F m -3 m'
_space_group_IT_number 225
_space_group_name_Hall '-F 4 2 3'
_cell_length_a 7.364
_cell_length_b 7.364
_cell_length_c 7.364
_cell_angle_alpha 90.00
_cell_angle_beta 90.00
_cell_angle_gamma 90.00
loop_
_atom_site_label
_atom_site_type_symbol
_atom_site_fract_x
_atom_site_fract_y
_atom_site_fract_z
Sc1 Sc 0.250 0.250 0.250
Bi1 Bi 0.000 0.000 0.000
Te1 Te 0.000 0.000 0.500
```

Computed properties:
VASP energy in eV per atom: -5.56
ΔE to the lowest computed polymorph in eV/atom: 0.299
Density in g/cm³: 7.1
E_form (uncorrected) in eV per formula unit: -2.552